# 1
Density functional theory data (PBE-GGA) for an optimized crystal structure of Ac3PrZn.

Cell: 12.924 12.924 7.606 Å, 97.77 97.77 17.85°
Positions (direct):
Ac  0.013  0.013  0.245
Ac  0.157  0.157  0.523
Ac  0.378  0.378  0.002
Ac  0.622  0.622  0.998
Ac  0.843  0.843  0.477
Ac  0.987  0.987  0.755
Pr  0.244  0.244  0.182
Pr  0.756  0.756  0.818
Zn  0.439  0.439  0.439
Zn  0.561  0.561  0.561

DOS(E_F) = 1.34 states/eV/atom
total magnetic moment = 0.000 μB per formula unit
energy of formation from the pure elements = 4.3 meV per atom
E_tot = -0.1349 hartree per atom



# 2
Density functional theory data (PBE-GGA) for an optimized crystal structure of AcPr4Zn4.

Cell: 9.681 9.681 5.629 Å, 90.00 90.00 90.00°
Positions (direct):
Ac  0.250  0.250  0.250
Ac  0.750  0.750  0.750
Pr  0.101  0.845  0.609
Pr  0.155  0.601  0.109
Pr  0.345  0.899  0.109
Pr  0.399  0.655  0.609
Pr  0.601  0.345  0.391
Pr  0.655  0.101  0.891
Pr  0.845  0.399  0.891
Pr  0.899  0.155  0.391
Zn  0.025  0.119  0.889
Zn  0.119  0.475  0.611
Zn  0.381  0.025  0.611
Zn  0.475  0.381  0.889
Zn  0.525  0.619  0.111
Zn  0.619  0.975  0.389
Zn  0.881  0.525  0.389
Zn  0.975  0.881  0.111

DOS(E_F) = 0.85 states/eV/atom
total magnetic moment = 0.000 μB per formula unit
energy of formation from the pure elements = -65.9 meV per atom
E_tot = -0.1181 hartree per atom



# 3
Density functional theory data (PBE-GGA) for an optimized crystal structure of Ac4PrZn.

Cell: 3.931 3.931 14.962 Å, 90.00 90.00 90.00°
Positions (direct):
Ac  0.000  0.000  0.129
Ac  0.000  0.000  0.871
Ac  0.500  0.500  0.324
Ac  0.500  0.500  0.676
Pr  0.000  0.000  0.500
Zn  0.500  0.500  0.000

DOS(E_F) = 1.36 states/eV/atom
total magnetic moment = 0.000 μB per formula unit
energy of formation from the pure elements = -72.3 meV per atom
E_tot = -0.1404 hartree per atom



# 4
Density functional theory data (PBE-GGA) for an optimized crystal structure of AcPrZn4.

Cell: 8.362 8.362 8.362 Å, 149.81 149.81 43.21°
Positions (direct):
Ac  0.000  0.000  0.000
Pr  0.250  0.750  0.500
Zn  0.413  0.413  0.000
Zn  0.587  0.587  0.000
Zn  0.670  0.170  0.500
Zn  0.830  0.330  0.500

DOS(E_F) = 1.26 states/eV/atom
total magnetic moment = 0.010 μB per formula unit
E above lowest polymorph = 0.0 meV per atom
energy of formation from the pure elements = -285.1 meV per atom
E_tot = -0.0961 hartree per atom



# 5
Density functional theory data (PBE-GGA) for an optimized crystal structure of AcPr3Zn8.

Cell: 5.788 5.788 8.886 Å, 90.00 90.00 120.00°
Positions (direct):
Ac  0.000  0.000  0.000
Pr  0.000  0.000  0.403
Pr  0.667  0.333  0.500
Pr  0.667  0.333  0.883
Zn  0.000  0.500  0.199
Zn  0.174  0.349  0.693
Zn  0.174  0.826  0.693
Zn  0.333  0.667  0.440
Zn  0.333  0.667  0.948
Zn  0.500  0.000  0.199
Zn  0.500  0.500  0.199
Zn  0.651  0.826  0.693

DOS(E_F) = 0.62 states/eV/atom
total magnetic moment = 0.000 μB per formula unit
energy of formation from the pure elements = -271.1 meV per atom
E_tot = -0.0977 hartree per atom



# 6
Density functional theory data (PBE-GGA) for an optimized crystal structure of AcPrZn3.

Cell: 14.234 14.234 4.712 Å, 90.00 90.00 164.46°
Positions (direct):
Ac  0.074  0.926  0.750
Ac  0.926  0.074  0.250
Pr  0.208  0.792  0.250
Pr  0.792  0.208  0.750
Zn  0.326  0.674  0.250
Zn  0.379  0.621  0.750
Zn  0.476  0.524  0.750
Zn  0.524  0.476  0.250
Zn  0.621  0.379  0.250
Zn  0.674  0.326  0.750

DOS(E_F) = 0.90 states/eV/atom
total magnetic moment = 0.000 μB per formula unit
energy of formation from the pure elements = -276.4 meV per atom
E_tot = -0.1036 hartree per atom



# 7
Density functional theory data (PBE-GGA) for an optimized crystal structure of Ac2PrZn3.

Cell: 3.848 3.848 11.525 Å, 90.00 90.00 90.00°
Positions (direct):
Ac  0.000  0.000  0.173
Ac  0.000  0.000  0.827
Pr  0.000  0.000  0.500
Zn  0.500  0.500  0.000
Zn  0.500  0.500  0.351
Zn  0.500  0.500  0.649

DOS(E_F) = 1.22 states/eV/atom
total magnetic moment = 0.000 μB per formula unit
energy of formation from the pure elements = -255.3 meV per atom
E_tot = -0.1124 hartree per atom



# 8
Density functional theory data (PBE-GGA) for an optimized crystal structure of Ac2Pr3Zn2.

Cell: 16.242 16.242 3.785 Å, 90.00 90.00 166.51°
Positions (direct):
Ac  0.196  0.804  0.000
Ac  0.804  0.196  0.000
Pr  0.080  0.920  0.000
Pr  0.500  0.500  0.500
Pr  0.920  0.080  0.000
Zn  0.367  0.633  0.500
Zn  0.633  0.367  0.500

DOS(E_F) = 1.23 states/eV/atom
total magnetic moment = 0.000 μB per formula unit
E above lowest polymorph = 0.0 meV per atom
energy of formation from the pure elements = -98.0 meV per atom
E_tot = -0.1354 hartree per atom



# 9
Density functional theory data (PBE-GGA) for an optimized crystal structure of Ac4Pr3Zn.

Cell: 3.911 3.911 19.887 Å, 90.00 90.00 90.00°
Positions (direct):
Ac  0.000  0.000  0.097
Ac  0.000  0.000  0.366
Ac  0.000  0.000  0.634
Ac  0.000  0.000  0.903
Pr  0.500  0.500  0.235
Pr  0.500  0.500  0.500
Pr  0.500  0.500  0.765
Zn  0.500  0.500  0.000

DOS(E_F) = 1.40 states/eV/atom
total magnetic moment = 0.000 μB per formula unit
energy of formation from the pure elements = -48.1 meV per atom
E_tot = -0.1490 hartree per atom



# 10
Density functional theory data (PBE-GGA) for an optimized crystal structure of Ac3Pr12Zn.

Cell: 5.259 5.259 20.882 Å, 90.00 90.00 90.00°
Positions (direct):
Ac  0.000  0.000  0.000
Ac  0.000  0.000  0.259
Ac  0.000  0.000  0.741
Pr  0.000  0.500  0.129
Pr  0.000  0.500  0.388
Pr  0.000  0.500  0.612
Pr  0.000  0.500  0.871
Pr  0.500  0.000  0.129
Pr  0.500  0.000  0.388
Pr  0.500  0.000  0.612
Pr  0.500  0.000  0.871
Pr  0.500  0.500  0.000
Pr  0.500  0.500  0.262
Pr  0.500  0.500  0.500
Pr  0.500  0.500  0.738
Zn  0.000  0.000  0.500

DOS(E_F) = 1.50 states/eV/atom
total magnetic moment = 0.000 μB per formula unit
energy of formation from the pure elements = 24.5 meV per atom
E_tot = -0.1621 hartree per atom



# 11
Density functional theory data (PBE-GGA) for an optimized crystal structure of AcPr5Zn6.

Cell: 5.290 7.509 8.376 Å, 90.00 108.25 90.00°
Positions (direct):
Ac  0.000  0.000  0.000
Pr  0.000  0.500  0.000
Pr  0.332  0.000  0.666
Pr  0.334  0.500  0.669
Pr  0.666  0.500  0.331
Pr  0.668  0.000  0.334
Zn  0.171  0.255  0.341
Zn  0.171  0.745  0.341
Zn  0.500  0.260  0.000
Zn  0.500  0.740  0.000
Zn  0.829  0.255  0.659
Zn  0.829  0.745  0.659

DOS(E_F) = 1.14 states/eV/atom
total magnetic moment = 0.000 μB per formula unit
energy of formation from the pure elements = -284.0 meV per atom
E_tot = -0.1196 hartree per atom



# 12
Density functional theory data (PBE-GGA) for an optimized crystal structure of Ac2Pr3Zn2.

Cell: 6.627 6.627 8.592 Å, 115.90 115.90 44.50°
Positions (direct):
Ac  0.136  0.136  0.293
Ac  0.864  0.864  0.707
Pr  0.360  0.360  0.027
Pr  0.500  0.500  0.500
Pr  0.640  0.640  0.973
Zn  0.136  0.136  0.685
Zn  0.864  0.864  0.315

DOS(E_F) = 1.21 states/eV/atom
total magnetic moment = 0.000 μB per formula unit
E above lowest polymorph = 11.8 meV per atom
energy of formation from the pure elements = -86.2 meV per atom
E_tot = -0.1350 hartree per atom



# 13
Density functional theory data (PBE-GGA) for an optimized crystal structure of Ac3Pt.

Cell: 5.146 5.146 5.146 Å, 90.00 90.00 90.00°
Positions (direct):
Ac  0.000  0.000  0.500
Ac  0.000  0.500  0.000
Ac  0.500  0.000  0.000
Pt  0.500  0.500  0.500

DOS(E_F) = 1.24 states/eV/atom
total magnetic moment = 0.000 μB per formula unit
E above lowest polymorph = 444.1 meV per atom
energy of formation from the pure elements = -110.9 meV per atom
E_tot = -0.1728 hartree per atom



# 14
Density functional theory data (PBE-GGA) for an optimized crystal structure of Ac2Pt17.

Cell: 7.047 7.047 7.047 Å, 83.68 83.68 83.68°
Positions (direct):
Ac  0.161  0.161  0.161
Ac  0.839  0.839  0.839
Pt  0.000  0.500  0.500
Pt  0.153  0.153  0.658
Pt  0.153  0.658  0.153
Pt  0.198  0.500  0.802
Pt  0.198  0.802  0.500
Pt  0.342  0.847  0.847
Pt  0.397  0.397  0.397
Pt  0.500  0.000  0.500
Pt  0.500  0.198  0.802
Pt  0.500  0.500  0.000
Pt  0.500  0.802  0.198
Pt  0.603  0.603  0.603
Pt  0.658  0.153  0.153
Pt  0.802  0.198  0.500
Pt  0.802  0.500  0.198
Pt  0.847  0.342  0.847
Pt  0.847  0.847  0.342

DOS(E_F) = 1.01 states/eV/atom
total magnetic moment = 0.000 μB per formula unit
energy of formation from the pure elements = -442.2 meV per atom
E_tot = -0.2308 hartree per atom



# 15
Density functional theory data (PBE-GGA) for an optimized crystal structure of Ac5Pt2.

Cell: 9.945 9.945 7.760 Å, 96.72 96.72 41.57°
Positions (direct):
Ac  0.073  0.927  0.750
Ac  0.135  0.291  0.312
Ac  0.291  0.135  0.812
Ac  0.312  0.493  0.082
Ac  0.493  0.312  0.582
Ac  0.507  0.688  0.418
Ac  0.688  0.507  0.918
Ac  0.709  0.865  0.188
Ac  0.865  0.709  0.688
Ac  0.927  0.073  0.250
Pt  0.078  0.702  0.419
Pt  0.298  0.922  0.081
Pt  0.702  0.078  0.919
Pt  0.922  0.298  0.581

DOS(E_F) = 1.17 states/eV/atom
total magnetic moment = 0.000 μB per formula unit
energy of formation from the pure elements = -706.8 meV per atom
E_tot = -0.1972 hartree per atom



# 16
Density functional theory data (PBE-GGA) for an optimized crystal structure of AcPt3.

Cell: 5.520 4.389 7.070 Å, 90.00 90.00 90.00°
Positions (direct):
Ac  0.250  0.000  0.186
Ac  0.750  0.000  0.814
Pt  0.000  0.500  0.500
Pt  0.250  0.000  0.628
Pt  0.250  0.500  0.856
Pt  0.500  0.500  0.500
Pt  0.750  0.000  0.372
Pt  0.750  0.500  0.144

DOS(E_F) = 0.85 states/eV/atom
total magnetic moment = 0.000 μB per formula unit
energy of formation from the pure elements = -819.9 meV per atom
E_tot = -0.2344 hartree per atom



# 17
Density functional theory data (PBE-GGA) for an optimized crystal structure of AcPt3.

Cell: 4.319 4.319 4.319 Å, 90.00 90.00 90.00°
Positions (direct):
Ac  0.000  0.000  0.000
Pt  0.000  0.500  0.500
Pt  0.500  0.000  0.500
Pt  0.500  0.500  0.000

DOS(E_F) = 1.29 states/eV/atom
total magnetic moment = 0.000 μB per formula unit
energy of formation from the pure elements = -726.8 meV per atom
E_tot = -0.2310 hartree per atom



# 18
Density functional theory data (PBE-GGA) for an optimized crystal structure of Ac3Pt.

Cell: 9.786 9.786 9.786 Å, 96.61 96.61 140.32°
Positions (direct):
Ac  0.099  0.403  0.499
Ac  0.109  0.249  0.858
Ac  0.240  0.739  0.898
Ac  0.261  0.159  0.501
Ac  0.391  0.250  0.142
Ac  0.401  0.901  0.305
Ac  0.597  0.096  0.695
Ac  0.658  0.760  0.499
Ac  0.750  0.891  0.140
Ac  0.751  0.609  0.860
Ac  0.841  0.342  0.102
Ac  0.904  0.599  0.501
Pt  0.250  0.450  0.198
Pt  0.252  0.052  0.802
Pt  0.550  0.748  0.800
Pt  0.948  0.750  0.200

DOS(E_F) = 1.60 states/eV/atom
total magnetic moment = 0.000 μB per formula unit
E above lowest polymorph = 46.9 meV per atom
energy of formation from the pure elements = -508.0 meV per atom
E_tot = -0.1874 hartree per atom



# 19
Density functional theory data (PBE-GGA) for an optimized crystal structure of Ac3Pt.

Cell: 6.863 6.863 6.863 Å, 145.69 69.96 121.11°
Positions (direct):
Ac  0.000  0.000  0.000
Ac  0.312  0.497  0.815
Ac  0.682  0.497  0.185
Pt  0.667  0.167  0.500

DOS(E_F) = 1.47 states/eV/atom
total magnetic moment = 0.000 μB per formula unit
E above lowest polymorph = 31.8 meV per atom
energy of formation from the pure elements = -523.1 meV per atom
E_tot = -0.1880 hartree per atom



# 20
Density functional theory data (PBE-GGA) for an optimized crystal structure of Ac5Pt.

Cell: 9.604 9.604 6.329 Å, 90.00 90.00 155.74°
Positions (direct):
Ac  0.000  0.000  0.000
Ac  0.124  0.876  0.500
Ac  0.333  0.667  0.000
Ac  0.667  0.333  0.000
Ac  0.876  0.124  0.500
Pt  0.500  0.500  0.500

DOS(E_F) = 1.55 states/eV/atom
total magnetic moment = 0.000 μB per formula unit
energy of formation from the pure elements = -162.7 meV per atom
E_tot = -0.1688 hartree per atom



# 21
Density functional theory data (PBE-GGA) for an optimized crystal structure of Ac8Pt5.

Cell: 8.353 8.353 10.411 Å, 124.71 124.71 64.48°
Positions (direct):
Ac  0.026  0.545  0.834
Ac  0.028  0.028  0.324
Ac  0.455  0.974  0.166
Ac  0.467  0.467  0.664
Ac  0.533  0.533  0.336
Ac  0.545  0.026  0.834
Ac  0.972  0.972  0.676
Ac  0.974  0.455  0.166
Pt  0.000  0.000  0.000
Pt  0.252  0.748  0.500
Pt  0.260  0.260  0.001
Pt  0.740  0.740  0.999
Pt  0.748  0.252  0.500

DOS(E_F) = 0.61 states/eV/atom
total magnetic moment = 0.000 μB per formula unit
energy of formation from the pure elements = -926.3 meV per atom
E_tot = -0.2123 hartree per atom



# 22
Density functional theory data (PBE-GGA) for an optimized crystal structure of Ac6Pt5.

Cell: 7.620 7.620 7.612 Å, 99.56 99.56 119.95°
Positions (direct):
Ac  0.067  0.414  0.742
Ac  0.240  0.240  0.254
Ac  0.414  0.067  0.742
Ac  0.586  0.933  0.258
Ac  0.760  0.760  0.746
Ac  0.933  0.586  0.258
Pt  0.000  0.000  0.500
Pt  0.167  0.833  0.000
Pt  0.338  0.662  0.500
Pt  0.662  0.338  0.500
Pt  0.833  0.167  0.000

DOS(E_F) = 0.68 states/eV/atom
total magnetic moment = 0.000 μB per formula unit
energy of formation from the pure elements = -1107.0 meV per atom
E_tot = -0.2239 hartree per atom



# 23
Density functional theory data (PBE-GGA) for an optimized crystal structure of AcPt4.

Cell: 5.279 5.279 5.279 Å, 90.00 90.00 90.00°
Positions (direct):
Ac  0.000  0.000  0.000
Pt  0.000  0.000  0.500
Pt  0.000  0.500  0.000
Pt  0.500  0.000  0.000
Pt  0.500  0.500  0.500

DOS(E_F) = 0.69 states/eV/atom
total magnetic moment = 0.000 μB per formula unit
E above lowest polymorph = 2152.8 meV per atom
energy of formation from the pure elements = 1536.2 meV per atom
E_tot = -0.1513 hartree per atom